Record 1
Hf2TiTc2 after structural relaxation. Source: Alexandria via LeMat-Bulk, functional PBE. Values from VASP.

```
&SYSTEM
  ibrav = 0, nat = 10, ntyp = 3
/
ATOMIC_SPECIES
Hf 178.49 Hf.upf
Tc 98.00 Tc.upf
Ti 47.87 Ti.upf
ATOMIC_POSITIONS crystal
Hf 0.1580 0.6580 0.5000
Tc 0.6462 0.1462 0.0000
Ti 0.5000 0.5000 0.0000
Tc 0.8538 0.6462 0.0000
Tc 0.3538 0.8538 0.0000
Hf 0.6580 0.8420 0.5000
Ti 0.0000 0.0000 0.0000
Hf 0.8420 0.3420 0.5000
Tc 0.1462 0.3538 0.0000
Hf 0.3420 0.1580 0.5000
CELL_PARAMETERS angstrom
-6.3299 0.5481 3.4692
2.8065 -3.5097 5.6753
1.0208 3.0490 1.3808
```

Summary:
The calculation puts the calculated formation energy at -0.105 eV per atom. The volume is 183 Å³/cell. The total moment comes out at 0.0 μB/cell. For the excess energy over the best structure of this formula in the dataset, the calculation gives 256.5 meV/atom. The value obtained for the density of states at the Fermi level is 0.707 states/eV per atom.

Record 2
ZnOsPt2 after structural relaxation. Source: Alexandria via LeMat-Bulk, functional PBE. Values from VASP.

```
&SYSTEM
  ibrav = 0, nat = 4, ntyp = 3
/
ATOMIC_SPECIES
Pt 195.08 Pt.upf
Os 190.23 Os.upf
Zn 65.41 Zn.upf
ATOMIC_POSITIONS crystal
Pt 0.5000 0.5000 0.0000
Os 0.0000 0.5000 0.5000
Zn 0.5000 0.0000 0.5000
Pt 0.0000 0.0000 0.0000
CELL_PARAMETERS angstrom
4.7919 0.0298 0.0000
-1.6384 4.5032 0.0000
0.0000 0.0000 2.7427
```

Summary:
The calculation puts the calculated formation energy at -0.104 eV per atom. The volume is 59 Å³/cell. The total moment comes out at 0.0 μB/cell. The value obtained for the density of states at the Fermi level is 0.844 states/eV per atom.

calculated formation energy of number 1 (Hf2TiTc2)?
-0.105 eV per atom

Which formula does entry 1 have?
Hf2TiTc2

What did the second record say?
ZnOsPt2 after structural relaxation. Source: Alexandria via LeMat-Bulk, functional PBE. Values from VASP.

```
&SYSTEM
  ibrav = 0, nat = 4, ntyp = 3
/
ATOMIC_SPECIES
Pt 195.08 Pt.upf
Os 190.23 Os.upf
Zn 65.41 Zn.upf
ATOMIC_POSITIONS crystal
Pt 0.5000 0.5000 0.0000
Os 0.0000 0.5000 0.5000
Zn 0.5000 0.0000 0.5000
Pt 0.0000 0.0000 0.0000
CELL_PARAMETERS angstrom
4.7919 0.0298 0.0000
-1.6384 4.5032 0.0000
0.0000 0.0000 2.7427
```

Summary:
The calculation puts the calculated formation energy at -0.104 eV per atom. The volume is 59 Å³/cell. The total moment comes out at 0.0 μB/cell. The value obtained for the density of states at the Fermi level is 0.844 states/eV per atom.